Crystalline Li3SnBi at its relaxed geometry. Source: Alexandria, functional GGA-PBE.

Cell: 5.2764 8.9989 9.3154 Å, 90.00 90.00 90.00°
Space group Pnma (No. 62)
One atom of each set of equivalent atoms:
Li 0.0016 0.2500 0.1871 x4
Li 0.2501 0.0918 0.7501 x8
Sn 0.0005 0.2500 0.4970 x4
Bi 0.0000 0.0000 0.0000 x4

Results
* energy of formation from the pure elements: -0.279 eV per atom
* DOS at the Fermi energy: 6.96 states/eV per cell
* energy relative to the lowest polymorph listed for this composition: 0.0 meV per atom

=====

Crystalline RbSnAs at its relaxed geometry. Source: Alexandria, functional GGA-PBE.

Cell: 4.2278 4.2278 6.7437 Å, 90.00 90.00 120.00°
Space group P3m1 (No. 156)
One atom of each set of equivalent atoms:
Rb 0.0000 0.0000 0.0000 x1
Sn 0.6667 0.3333 0.5550 x1
As 0.3333 0.6667 0.3595 x1

Results
* energy of formation from the pure elements: -0.374 eV per atom

=====

Crystalline CoPbCl2 at its relaxed geometry. Source: Alexandria, functional GGA-PBE.

Cell: 3.1868 3.1868 8.6608 Å, 90.00 90.00 90.00°
Space group P4/mmm (No. 123)
One atom of each set of equivalent atoms:
Co 0.0000 0.0000 0.0000 x1
Pb 0.0000 0.0000 0.5000 x1
Cl 0.5000 0.5000 0.1725 x2

Results
* ΔE_f (raw): -20 meV per atom
* DOS at the Fermi energy: 3.32 states/eV per cell
* energy relative to the lowest polymorph listed for this composition: 377.7 meV per atom

=====

Crystalline TaCr2Ag at its relaxed geometry. Source: Alexandria, functional GGA-PBE.

Cell: 2.8251 2.8251 26.6734 Å, 90.00 90.00 120.00°
Space group R3m (No. 160, hexagonal axes)
One atom of each set of equivalent atoms:
Ta 0.0000 0.0000 0.0000 x3
Cr 0.0000 0.0000 0.4814 x3
Cr 0.0000 0.0000 0.7558 x3
Ag 0.0000 0.0000 0.2377 x3

Results
* energy of formation from the pure elements: 0.450 eV per atom
* DOS at the Fermi energy: 14.61 states/eV per cell
* energy relative to the lowest polymorph listed for this composition: 185.2 meV per atom

=====

Crystalline HfRh3Pb at its relaxed geometry. Source: Alexandria, functional GGA-PBE.

Cell: 4.8504 4.8504 4.8504 Å, 90.00 90.00 90.00°
Space group Pm-3m (No. 221)
One atom of each set of equivalent atoms:
Hf 0.0000 0.0000 0.0000 x1
Rh 0.0000 0.5000 0.5000 x3
Pb 0.5000 0.5000 0.5000 x1

Results
* energy of formation from the pure elements: 1.094 eV per atom
* DOS at the Fermi energy: 16.22 states/eV per cell
* energy relative to the lowest polymorph listed for this composition: 559.1 meV per atom

=====

Crystalline InCo2W at its relaxed geometry. Source: Alexandria, functional GGA-PBE.

Cell: 3.6922 3.6922 8.3109 Å, 90.00 90.00 90.00°
Space group I-4m2 (No. 119)
One atom of each set of equivalent atoms:
In 0.0000 0.0000 0.0000 x2
Co 0.0000 0.0000 0.5000 x2
Co 0.0000 0.5000 0.2500 x2
W 0.0000 0.5000 0.7500 x2

Results
* energy of formation from the pure elements: 0.380 eV per atom
* DOS at the Fermi energy: 6.83 states/eV per cell

=====

Crystalline Pm2ZnCu at its relaxed geometry. Source: Alexandria, functional GGA-PBE.

Cell: 3.6192 3.6192 7.2093 Å, 90.00 90.00 90.00°
Space group P4/mmm (No. 123)
One atom of each set of equivalent atoms:
Pm 0.0000 0.0000 0.2444 x2
Zn 0.5000 0.5000 0.5000 x1
Cu 0.5000 0.5000 0.0000 x1

Results
* energy of formation from the pure elements: -0.238 eV per atom
* DOS at the Fermi energy: 3.49 states/eV per cell

=====

Crystalline CaFeBr2 at its relaxed geometry. Source: Alexandria, functional GGA-PBE.

Cell: 3.9151 4.1346 5.9851 Å, 90.00 92.10 90.00°
Space group P2/m (No. 10)
One atom of each set of equivalent atoms:
Ca 0.0000 0.0000 0.0000 x1
Fe 0.5000 0.0000 0.5000 x1
Br 0.3239 0.5000 0.7309 x2

Results
* ΔE_f (raw): -394 meV per atom
* DOS at the Fermi energy: 1.88 states/eV per cell
* energy relative to the lowest polymorph listed for this composition: 207.4 meV per atom